The following is a DFT calculation (PBE-GGA) of a relaxed structure of AgAs2Rh.

- Energy of formation from the pure elements: 59 meV per atom

Lattice parameters (Å, degrees): 4.1996 2.8681 7.0502 66.06 90.00 90.00
Fractional coordinates of all 4 atoms:
As  0.0000  0.9669  0.9085
As  0.5000  0.5440  0.3299
Rh  0.0000  0.3535  0.5214
Ag  0.5000  0.6356  0.7402

=====

The following is a DFT calculation (PBE-GGA) of a relaxed structure of Mn3C5.

- Energy of formation from the pure elements: 1409 meV per atom

Lattice parameters (Å, degrees): 4.0534 4.0534 3.9398 90.00 90.00 102.35
Fractional coordinates of all 8 atoms:
Mn  0.5000  0.5000  0.0000
Mn  0.8059  0.1941  0.5000
Mn  0.1941  0.8059  0.5000
C  0.0000  0.0000  0.0000
C  0.0000  0.5000  0.0000
C  0.5000  0.0000  0.0000
C  0.3574  0.3574  0.5000
C  0.6426  0.6426  0.5000

=====

The following is a DFT calculation (PBE-GGA) of a relaxed structure of LiBr3Cl.

- E_form (uncorrected): -66 kJ/mol of formula units

Lattice parameters (Å, degrees): 5.4090 5.4090 5.4090 90.00 90.00 90.00
Fractional coordinates of all 5 atoms:
Li  0.5000  0.5000  0.5000
Br  0.0000  0.5000  0.0000
Br  0.0000  0.0000  0.5000
Br  0.5000  0.0000  0.0000
Cl  0.0000  0.0000  0.0000

=====

The following is a DFT calculation (PBE-GGA) of a relaxed structure of InSiPd6.

- E_form (uncorrected): -315 kJ/mol of formula units

Lattice parameters (Å, degrees): 6.8002 7.6583 5.1572 41.29 47.73 54.83
Fractional coordinates of all 8 atoms:
In  0.5000  0.5000  0.5000
Si  0.0000  0.0000  0.0000
Pd  0.9495  0.5936  0.6894
Pd  0.7696  0.9494  0.8781
Pd  0.5922  0.2309  0.2350
Pd  0.2304  0.0506  0.1219
Pd  0.0505  0.4064  0.3106
Pd  0.4078  0.7691  0.7650

=====

The following is a DFT calculation (PBE-GGA) of a relaxed structure of Ta2Ti3H4.

- Calculated total energy: -0.5033 Ry per atom

Lattice parameters (Å, degrees): 2.7990 5.0162 7.4805 107.14 90.00 106.20
Fractional coordinates of all 9 atoms:
Ta  0.2991  0.5982  0.2028
Ta  0.7009  0.4018  0.7972
Ti  0.3953  0.7906  0.6050
Ti  0.0000  0.0000  0.0000
Ti  0.6047  0.2094  0.3950
H  0.6556  0.3113  0.0549
H  0.0792  0.1585  0.6177
H  0.9208  0.8415  0.3823
H  0.3444  0.6887  0.9451

=====

The following is a DFT calculation (PBE-GGA) of a relaxed structure of Cs2Pr2NpS6.

- E_form (uncorrected): -1779 kJ/mol of formula units

Lattice parameters (Å, degrees): 7.2234 7.2234 8.6095 98.30 98.30 119.67
Fractional coordinates of all 11 atoms:
Cs  0.8298  0.1702  0.0000
Cs  0.1702  0.8298  0.0000
Pr  0.3339  0.6661  0.5000
Pr  0.6661  0.3339  0.5000
Np  0.0000  0.0000  0.5000
S  0.7475  0.7475  0.6788
S  0.0593  0.3781  0.6790
S  0.2525  0.2525  0.3212
S  0.3781  0.0593  0.6790
S  0.9407  0.6219  0.3210
S  0.6219  0.9407  0.3210

=====

The following is a DFT calculation (PBE-GGA) of a relaxed structure of TbNdGe.

- Energy of formation from the pure elements: -362 meV per atom

Lattice parameters (Å, degrees): 6.8367 6.8367 8.7083 90.00 90.00 90.00
Fractional coordinates of all 12 atoms:
Ge  0.4895  0.4895  0.0000
Ge  0.5105  0.5105  0.5000
Ge  0.0105  0.9895  0.2500
Ge  0.9895  0.0105  0.7500
Tb  0.6955  0.3045  0.7500
Tb  0.8045  0.8045  0.5000
Tb  0.1955  0.1955  0.0000
Tb  0.3045  0.6955  0.2500
Nd  0.7059  0.2941  0.2500
Nd  0.7941  0.7941  0.0000
Nd  0.2059  0.2059  0.5000
Nd  0.2941  0.7059  0.7500

=====

The following is a DFT calculation (PBE-GGA) of a relaxed structure of Cu2PCl.

- E_form (uncorrected): 224 kJ/mol of formula units

Lattice parameters (Å, degrees): 4.5440 4.5440 4.5440 125.09 125.09 81.38
Fractional coordinates of all 4 atoms:
Cl  0.7500  0.2500  0.5000
Cu  0.0000  0.0000  0.0000
Cu  0.5000  0.5000  0.0000
P  0.2500  0.7500  0.5000

=====

The following is a DFT calculation (PBE-GGA) of a relaxed structure of Sm2Mg5Zn12.

- Energy of formation from the pure elements: -194 meV per atom

Lattice parameters (Å, degrees): 7.0660 7.0660 7.0660 82.30 82.30 82.30
Fractional coordinates of all 19 atoms:
Sm  0.6577  0.6577  0.6577
Sm  0.3423  0.3423  0.3423
Mg  0.0000  0.0000  0.5000
Mg  0.0000  0.5000  0.0000
Mg  0.5000  0.0000  0.0000
Mg  0.8992  0.8992  0.8992
Mg  0.1008  0.1008  0.1008
Zn  0.2958  0.7042  0.0000
Zn  0.7042  0.0000  0.2958
Zn  0.0000  0.2958  0.7042
Zn  0.7042  0.2958  0.0000
Zn  0.2958  0.0000  0.7042
Zn  0.0000  0.7042  0.2958
Zn  0.3575  0.3575  0.8334
Zn  0.3575  0.8334  0.3575
Zn  0.8334  0.3575  0.3575
Zn  0.6425  0.1666  0.6425
Zn  0.6425  0.6425  0.1666
Zn  0.1666  0.6425  0.6425

=====

The following is a DFT calculation (PBE-GGA) of a relaxed structure of CeNd3Pu2P6.

- Energy of formation from the pure elements: -1399 meV per atom

Lattice parameters (Å, degrees): 7.0967 7.0967 7.0907 99.60 99.60 119.99
Fractional coordinates of all 12 atoms:
Ce  0.0000  0.0000  0.0000
Nd  0.1660  0.8340  0.5000
Nd  0.8340  0.1660  0.5000
Nd  0.5000  0.5000  0.5000
Pu  0.3333  0.6667  0.0000
Pu  0.6667  0.3333  0.0000
P  0.9208  0.5841  0.7628
P  0.7421  0.7421  0.2370
P  0.0792  0.4159  0.2372
P  0.5841  0.9208  0.7628
P  0.2579  0.2579  0.7630
P  0.4159  0.0792  0.2372

=====

The following is a DFT calculation (PBE-GGA) of a relaxed structure of La2NiSe.

- E_form (uncorrected): -409 kJ/mol of formula units

Lattice parameters (Å, degrees): 4.1262 4.1262 7.7804 74.62 74.62 60.08
Fractional coordinates of all 4 atoms:
La  0.0073  0.0073  0.9766
La  0.4927  0.4927  0.5234
Ni  0.7500  0.7500  0.7500
Se  0.2500  0.2500  0.2500

=====

The following is a DFT calculation (PBE-GGA) of a relaxed structure of BeCdAu2.

- Energy of formation from the pure elements: 55 meV per atom

Lattice parameters (Å, degrees): 4.5344 4.5344 3.2588 90.00 90.00 92.88
Fractional coordinates of all 4 atoms:
Be  0.5000  0.0000  0.5000
Au  0.0000  0.0000  0.0000
Au  0.5000  0.5000  0.0000
Cd  0.0000  0.5000  0.5000

=====

The following is a DFT calculation (PBE-GGA) of a relaxed structure of RbSc3Cl.

- E_form (uncorrected): 118 kJ/mol of formula units

Lattice parameters (Å, degrees): 5.2095 5.2095 5.2095 90.00 90.00 90.00
Fractional coordinates of all 5 atoms:
Sc  0.0000  0.5000  0.0000
Sc  0.0000  0.0000  0.5000
Sc  0.5000  0.0000  0.0000
Rb  0.5000  0.5000  0.5000
Cl  0.0000  0.0000  0.0000

=====

The following is a DFT calculation (PBE-GGA) of a relaxed structure of Y6Ho2Er3Zr.

- Energy of formation from the pure elements: 51 meV per atom

Lattice parameters (Å, degrees): 6.0795 6.0795 11.6387 94.97 94.97 119.91
Fractional coordinates of all 12 atoms:
Y  0.9183  0.5910  0.7546
Y  0.7546  0.7546  0.2449
Y  0.0817  0.4090  0.2454
Y  0.5910  0.9183  0.7546
Y  0.2454  0.2454  0.7551
Y  0.4090  0.0817  0.2454
Ho  0.3331  0.6669  0.0000
Ho  0.6669  0.3331  0.0000
Er  0.1666  0.8334  0.5000
Er  0.8334  0.1666  0.5000
Er  0.5000  0.5000  0.5000
Zr  0.0000  0.0000  0.0000

=====

The following is a DFT calculation (PBE-GGA) of a relaxed structure of Pm2PaGeO8.

- E_form (uncorrected): -3193 kJ/mol of formula units

Lattice parameters (Å, degrees): 3.9214 5.4681 7.8843 98.06 87.41 95.96
Fractional coordinates of all 12 atoms:
Pm  0.4872  0.5219  0.7550
Pm  0.5128  0.4781  0.2450
Pa  0.0000  0.0000  0.5000
Ge  0.0000  0.0000  0.0000
O  0.0431  0.7047  0.2978
O  0.6344  0.7673  0.0276
O  0.9551  0.1710  0.2157
O  0.9569  0.2953  0.7022
O  0.3656  0.2327  0.9724
O  0.0449  0.8290  0.7843
O  0.5238  0.7709  0.5303
O  0.4762  0.2291  0.4697

=====

The following is a DFT calculation (PBE-GGA) of a relaxed structure of Tl3Cu2PtO6.

- E_form (uncorrected): -563 kJ/mol of formula units

Lattice parameters (Å, degrees): 5.9773 5.9773 6.1985 90.00 90.00 120.00
Fractional coordinates of all 12 atoms:
Tl  0.3333  0.6667  0.7674
Tl  0.6667  0.3333  0.2326
Tl  0.0000  0.0000  0.0000
Cu  0.6667  0.3333  0.6841
Cu  0.3333  0.6667  0.3159
Pt  0.0000  0.0000  0.5000
O  0.6992  0.8496  0.2875
O  0.1504  0.3008  0.2875
O  0.1504  0.8496  0.2875
O  0.8496  0.6992  0.7125
O  0.3008  0.1504  0.7125
O  0.8496  0.1504  0.7125

=====

The following is a DFT calculation (PBE-GGA) of a relaxed structure of Ac5Hg2GeN.

- E_form (uncorrected): -527 kJ/mol of formula units

Lattice parameters (Å, degrees): 4.7702 10.1308 12.5911 90.00 90.00 103.62
Fractional coordinates of all 18 atoms:
Ac  0.3237  0.6473  0.0117
Ac  0.6408  0.2816  0.8926
Ac  0.4616  0.9233  0.7363
Ac  0.2656  0.5312  0.6991
Ac  0.0025  0.0050  0.4743
Ac  0.6763  0.3527  0.5117
Ac  0.3592  0.7184  0.3926
Ac  0.5384  0.0767  0.2363
Ac  0.7344  0.4688  0.1991
Ac  0.9975  0.9950  0.9743
Hg  0.8466  0.6932  0.8316
Hg  0.0963  0.1926  0.6960
Hg  0.1534  0.3068  0.3316
Hg  0.9037  0.8074  0.1960
Ge  0.8439  0.6878  0.5735
Ge  0.1561  0.3122  0.0735
N  0.5163  0.0326  0.9088
N  0.4837  0.9674  0.4088

=====

The following is a DFT calculation (PBE-GGA) of a relaxed structure of CsInBiSb.

- E_form (uncorrected): -57 kJ/mol of formula units

Lattice parameters (Å, degrees): 4.7488 4.7488 15.2151 90.00 90.00 90.00
Fractional coordinates of all 8 atoms:
Cs  0.7500  0.7500  0.2921
Cs  0.2500  0.2500  0.7079
In  0.7500  0.2500  0.0000
In  0.2500  0.7500  0.0000
Bi  0.7500  0.7500  0.8752
Bi  0.2500  0.2500  0.1248
Sb  0.2500  0.7500  0.5000
Sb  0.7500  0.2500  0.5000

=====

The following is a DFT calculation (PBE-GGA) of a relaxed structure of Dy3Zn2Cu4.

- Energy of formation from the pure elements: -297 meV per atom

Lattice parameters (Å, degrees): 4.3169 5.5744 8.3212 111.84 90.00 112.78
Fractional coordinates of all 9 atoms:
Dy  0.6474  0.2949  0.6877
Dy  0.0000  0.0000  0.0000
Dy  0.3526  0.7051  0.3123
Zn  0.6468  0.2936  0.3120
Zn  0.3532  0.7064  0.6879
Cu  0.7262  0.4523  0.0614
Cu  0.2738  0.5477  0.9386
Cu  0.9214  0.8428  0.5878
Cu  0.0786  0.1572  0.4122

=====

The following is a DFT calculation (PBE-GGA) of a relaxed structure of Tl5Pb3I12.

- E_form (uncorrected): -866 kJ/mol of formula units

Lattice parameters (Å, degrees): 17.0893 17.0893 17.0893 109.47 109.47 109.47
Fractional coordinates of all 80 atoms:
Pb  0.7500  0.3750  0.1250
Pb  0.8750  0.7500  0.1250
Pb  0.3750  0.7500  0.6250
Pb  0.2500  0.1250  0.3750
Pb  0.8750  0.1250  0.2500
Pb  0.3750  0.6250  0.2500
Pb  0.6250  0.3750  0.7500
Pb  0.1250  0.8750  0.7500
Pb  0.7500  0.8750  0.6250
Pb  0.6250  0.2500  0.3750
Pb  0.1250  0.2500  0.8750
Pb  0.2500  0.6250  0.8750
Tl  0.1250  0.3750  0.2500
Tl  0.0000  0.5000  0.0000
Tl  0.0000  0.0000  0.0000
Tl  0.3750  0.2500  0.1250
Tl  0.5000  0.0000  0.5000
Tl  0.5000  0.5000  0.0000
Tl  0.1250  0.7500  0.3750
Tl  0.7500  0.1250  0.8750
Tl  0.7500  0.6250  0.3750
Tl  0.3750  0.1250  0.7500
Tl  0.6250  0.8750  0.2500
Tl  0.5000  0.5000  0.5000
Tl  0.5000  0.0000  0.0000
Tl  0.0000  0.0000  0.5000
Tl  0.2500  0.3750  0.6250
Tl  0.2500  0.8750  0.1250
Tl  0.0000  0.5000  0.5000
Tl  0.8750  0.2500  0.6250
Tl  0.6250  0.7500  0.8750
Tl  0.8750  0.6250  0.7500
I  0.7325  0.1288  0.0610
I  0.3285  0.5610  0.4322
I  0.9390  0.3712  0.2675
I  0.5610  0.2325  0.1288
I  0.6037  0.7325  0.6715
I  0.9390  0.5678  0.1715
I  0.3285  0.7675  0.3963
I  0.0678  0.8963  0.1288
I  0.5678  0.9390  0.6715
I  0.7325  0.6037  0.1715
I  0.7675  0.4390  0.3712
I  0.8285  0.9322  0.0610
I  0.1288  0.7325  0.5610
I  0.3712  0.4322  0.1037
I  0.1037  0.9322  0.3712
I  0.3963  0.1288  0.5678
I  0.1037  0.1715  0.2325
I  0.4390  0.6715  0.0678
I  0.8285  0.8963  0.2675
I  0.1288  0.3963  0.0678
I  0.3712  0.9390  0.7675
I  0.5678  0.6288  0.3963
I  0.9322  0.8285  0.5610
I  0.7675  0.3285  0.8963
I  0.4322  0.3712  0.6037
I  0.0678  0.1715  0.4390
I  0.2325  0.6715  0.1037
I  0.1715  0.1037  0.7325
I  0.6288  0.0610  0.2325
I  0.8712  0.6037  0.9322
I  0.5610  0.3285  0.9322
I  0.6037  0.8712  0.4322
I  0.8963  0.8285  0.7675
I  0.8963  0.0678  0.6288
I  0.8712  0.2675  0.4390
I  0.1715  0.0678  0.9390
I  0.6288  0.5678  0.8963
I  0.4322  0.0610  0.3285
I  0.2675  0.3963  0.8285
I  0.2325  0.5610  0.6288
I  0.9322  0.1037  0.8712
I  0.6715  0.2325  0.6037
I  0.4390  0.7675  0.8712
I  0.0610  0.4322  0.8285
I  0.3963  0.2675  0.3285
I  0.0610  0.6288  0.7325
I  0.6715  0.4390  0.5678
I  0.2675  0.8712  0.9390

=====

Computed values of density (unit: g/cm³) for the preceding records, in sequence: 7.72; 5.91; 2.96; 10.00; 8.81; 4.34; 6.13; 5.31; 5.83; 7.10; 6.31; 12.79; 3.00; 6.58; 7.20; 8.93; 9.11; 5.60; 8.58; 5.47.